Record 1
First-principles (PBE) data for a geometry-optimized K2RbIr structure, as listed in Alexandria.

Cell lengths 5.242, 5.242, 22.252 Å; angles 90.00, 90.00, 90.00 degrees
Space group I-42d (No. 122)
Symmetry-distinct sites (fractional):
K (0.198, 0.250, 0.125)
Rb (0.000, 0.000, 0.500)
Ir (0.000, 0.000, 0.000)

Values from the calculation:
DOS(E_F): 16.34 states/eV per cell
theoretical density: 3.87 g cm⁻³
DFT formation energy: 930.2 meV/atom

***

Record 2
First-principles (PBE) data for a geometry-optimized Sc2WAu structure, as listed in Alexandria.

Cell lengths 6.686, 6.686, 6.686 Å; angles 90.00, 90.00, 90.00 degrees
Space group F-43m (No. 216)
Symmetry-distinct sites (fractional):
Sc (0.000, 0.000, 0.000)
Sc (0.250, 0.250, 0.250)
W (0.000, 0.000, 0.500)
Au (0.250, 0.250, 0.750)

Values from the calculation:
DOS(E_F): 24.17 states/eV per cell
theoretical density: 10.46 g cm⁻³
DFT formation energy: 217.5 meV/atom

***

Record 3
First-principles (PBE) data for a geometry-optimized TbPrNd3 structure, as listed in Alexandria.

Cell lengths 8.187, 14.162, 6.279 Å; angles 90.00, 90.00, 90.00 degrees
Space group Cmcm (No. 63)
Symmetry-distinct sites (fractional):
Tb (0.000, 0.165, 0.250)
Pr (0.000, 0.299, 0.750)
Nd (0.000, 0.500, 0.000)
Nd (0.198, 0.099, 0.750)

Values from the calculation:
DOS(E_F): 17.51 states/eV per cell
theoretical density: 6.68 g cm⁻³
DFT formation energy: 313.7 meV/atom

***

Q: The lowest DFT formation energy belongs to which entry?
A: Sc2WAu

***

Q: Look up the theoretical density of the second one.
A: 10.46 g cm⁻³

***

Q: The highest DOS(E_F) belongs to which entry?
A: Sc2WAu

***

Copy entry 1 word for word.
First-principles (PBE) data for a geometry-optimized K2RbIr structure, as listed in Alexandria.

Cell lengths 5.242, 5.242, 22.252 Å; angles 90.00, 90.00, 90.00 degrees
Space group I-42d (No. 122)
Symmetry-distinct sites (fractional):
K (0.198, 0.250, 0.125)
Rb (0.000, 0.000, 0.500)
Ir (0.000, 0.000, 0.000)

Values from the calculation:
DOS(E_F): 16.34 states/eV per cell
theoretical density: 3.87 g cm⁻³
DFT formation energy: 930.2 meV/atom